Entry 1:
MgAlOsPb2: single point on PBEsol structure, SCAN.

- DFT formation energy: 1501 meV/atom
- ρ: 8.224 g/cm3
- Uncorrected energy: -45.732 eV per atom

a b c (Å): 4.9219 5.1872 5.1872
angles (deg): 90.00 90.00 90.00
With the nearest neighbours (Å) after each atom.
Positions (direct):
Pb  0.0000  0.0000  0.5000  2 Al 2.59
Pb  0.0000  0.5000  0.0000  2 Al 2.59
Mg  0.5000  0.0000  0.0000  2 Al 2.46
Os  0.5000  0.5000  0.5000  8 Pb 3.58, 4 Mg 3.67
Al  0.0000  0.0000  0.0000  2 Mg 2.46, 4 Pb 2.59


Entry 2:
Mn3TlS: single point on PBEsol structure, SCAN.

- ρ: 5.169 g/cm3
- Formation energy without anion corrections: 702 meV per atom
- Uncorrected energy: -26.648 eV per atom

a b c (Å): 5.0515 5.0515 5.0515
angles (deg): 90.00 90.00 90.00
With the nearest neighbours (Å) after each atom.
Positions (direct):
Tl  0.0000  0.0000  0.0000  6 Mn 2.53
Mn  0.0000  0.5000  0.0000  2 Tl 2.53
Mn  0.0000  0.0000  0.5000  2 Tl 2.53
Mn  0.5000  0.0000  0.0000  2 Tl 2.53
S  0.5000  0.5000  0.5000  12 Mn 3.57